Record 1
The following is a PBE calculation of a relaxed structure of LiMgOs2, from the Alexandria database.

total moment = 0.000 μB per formula unit
space group = No. 12
calculated formation energy = 0.227 eV/atom
calculated total energy = -6.26 eV/atom

```
data_LiMgOs2
_symmetry_space_group_name_H-M 'P 1'
_symmetry_Int_Tables_number 1
_cell_length_a 4.804
_cell_length_b 5.253
_cell_length_c 2.681
_cell_angle_alpha 77.88
_cell_angle_beta 84.32
_cell_angle_gamma 115.59
loop_
_symmetry_equiv_pos_as_xyz
'x,y,z'
loop_
_atom_site_label
_atom_site_type_symbol
_atom_site_fract_x
_atom_site_fract_y
_atom_site_fract_z
Li1 Li 0.000 0.500 0.500
Os1 Os 0.000 0.000 0.000
Os2 Os 0.500 0.000 0.500
Mg1 Mg 0.500 0.500 0.000
```

---

Record 2
The following is a PBE calculation of a relaxed structure of Li2MgOs, from the Alexandria database.

total moment = 0.054 μB per formula unit
space group = No. 166
calculated formation energy = 0.144 eV/atom
calculated total energy = -4.02 eV/atom

```
data_Li2MgOs
_symmetry_space_group_name_H-M 'P 1'
_symmetry_Int_Tables_number 1
_cell_length_a 9.810
_cell_length_b 9.810
_cell_length_c 9.810
_cell_angle_alpha 16.07
_cell_angle_beta 16.07
_cell_angle_gamma 16.07
loop_
_symmetry_equiv_pos_as_xyz
'x,y,z'
loop_
_atom_site_label
_atom_site_type_symbol
_atom_site_fract_x
_atom_site_fract_y
_atom_site_fract_z
Li1 Li 0.007 0.007 0.007
Li2 Li 0.493 0.493 0.493
Mg1 Mg 0.250 0.250 0.250
Os1 Os 0.750 0.750 0.750
```